DFT (PBE-GGA) results for an optimized crystal structure of Hg3Mo4.

abc: 11.9951 11.9951 11.9951
angles: 164.11 164.11 22.55
Last column: nearest neighbours and their distance in Å.
Positions (direct):
Hg  0.0000  0.0000  0.0000  10 Mo 2.96-2.99
Hg  0.2925  0.2925  0.0000  5 Mo 3.02-3.07, 8 Hg 3.08-3.32
Hg  0.7075  0.7075  0.0000  5 Mo 3.02-3.07, 8 Hg 3.08-3.32
Mo  0.1269  0.1269  0.0000  4 Mo 2.62
Mo  0.4232  0.4232  0.0000  4 Mo 2.62
Mo  0.5768  0.5768  0.0000  4 Mo 2.62
Mo  0.8731  0.8731  0.0000  4 Mo 2.62

Properties
Magnetic moment = 0.000 μB/atom
Relative energy among the computed polymorphs = 0.000 kcal/mol of atoms
Density = 12.65 g/cm³
Energy of formation from the pure elements = 9.5 kcal/mol of atoms
Crystal system = tetragonal